First-principles (GGA-PBE) data for a geometry-optimized KMg2Au2 structure, as listed in the Alexandria database.

offset from the most stable computed form	8	kJ/mol of formula units
volume	220.0	Å³/cell
formation enthalpy at 0 K	-0.381	eV per atom
magnetization	0.00	Bohr magnetons per cell

abc: 8.456 8.456 3.077
angles: 90.00 90.00 90.00
Space group P4/mbm (No. 127)
Inequivalent atoms, fractional coordinates:
1 K 0.000 0.000 0.000
2 Mg 0.127 0.373 0.000
3 Au 0.165 0.665 0.500


First-principles (GGA-PBE) data for a geometry-optimized KMgAu structure, as listed in the Alexandria database.

offset from the most stable computed form	189	kJ/mol of formula units
volume	448.4	Å³/cell
formation enthalpy at 0 K	0.300	eV per atom
magnetization	0.00	Bohr magnetons per cell

abc: 7.654 7.654 7.654
angles: 90.00 90.00 90.00
Space group F-43m (No. 216)
Inequivalent atoms, fractional coordinates:
1 K 0.000 0.000 0.000
2 Mg 0.250 0.250 0.750
3 Au 0.250 0.250 0.250


First-principles (GGA-PBE) data for a geometry-optimized K2MgAu structure, as listed in the Alexandria database.

volume	138.9	Å³/cell
formation enthalpy at 0 K	0.017	eV per atom
magnetization	0.00	Bohr magnetons per cell

abc: 5.373 5.373 4.811
angles: 90.00 90.00 90.00
Space group P4/mmm (No. 123)
Inequivalent atoms, fractional coordinates:
1 K 0.000 0.500 0.000
2 Mg 0.000 0.000 0.500
3 Au 0.500 0.500 0.500


First-principles (GGA-PBE) data for a geometry-optimized KMg2Au3 structure, as listed in the Alexandria database.

volume	129.9	Å³/cell
formation enthalpy at 0 K	-0.453	eV per atom
magnetization	0.00	Bohr magnetons per cell

abc: 3.412 3.412 11.158
angles: 90.00 90.00 90.00
Space group P4/mmm (No. 123)
Inequivalent atoms, fractional coordinates:
1 K 0.000 0.000 0.000
2 Mg 0.000 0.000 0.355
3 Au 0.500 0.500 0.227
4 Au 0.500 0.500 0.500